Compound: GeOs3Pd
Source: the Alexandria database
Functional: GGA-PBE
Structure: optimized geometry

Energy of formation from the pure elements (kJ per mole of atoms): 259
DOS at the Fermi energy (states/eV/atom): 1.42
Space group: Pm-3m

Cell lengths 4.7434, 4.7434, 4.7434 Å; angles 90.00, 90.00, 90.00 degrees
Last column: magnetic moment on the atom in μB.
Sites, in units of the cell vectors:
Pd (0.0000, 0.0000, 0.0000)  0.47
Os (0.5000, 0.0000, 0.0000)  0.88
Os (0.0000, 0.0000, 0.5000)  1.76
Ge (0.5000, 0.5000, 0.5000)  -0.08
Os (0.0000, 0.5000, 0.0000)  1.21



Compound: Ge2Os2Pd
Source: the Alexandria database
Functional: GGA-PBE
Structure: optimized geometry

Energy of formation from the pure elements (kJ per mole of atoms): 34
DOS at the Fermi energy (states/eV/atom): 0.78
Space group: I4/mmm

Cell lengths 3.9689, 3.9689, 5.9885 Å; angles 70.65, 70.65, 90.00 degrees
Sites, in units of the cell vectors:
Ge (0.3893, 0.3893, 0.2215)
Ge (0.6107, 0.6107, 0.7785)
Pd (0.0000, 0.0000, 0.0000)
Os (0.2500, 0.7500, 0.5000)
Os (0.7500, 0.2500, 0.5000)



Compound: GeOsPd3
Source: the Alexandria database
Functional: GGA-PBE
Structure: optimized geometry

Energy of formation from the pure elements (kJ per mole of atoms): 101
DOS at the Fermi energy (states/eV/atom): 1.09
Space group: Pm-3m

Cell lengths 4.5645, 4.5645, 4.5645 Å; angles 90.00, 90.00, 90.00 degrees
Last column: magnetic moment on the atom in μB.
Sites, in units of the cell vectors:
Pd (0.0000, 0.0000, 0.5000)  0.07
Pd (0.5000, 0.0000, 0.0000)  0.12
Os (0.5000, 0.5000, 0.5000)  2.60
Pd (0.0000, 0.5000, 0.0000)  0.04
Ge (0.0000, 0.0000, 0.0000)  -0.01



Compound: GeOsPd2
Source: the Alexandria database
Functional: GGA-PBE
Structure: optimized geometry

Energy of formation from the pure elements (kJ per mole of atoms): 40
DOS at the Fermi energy (states/eV/atom): 1.18
Space group: I-42d

Cell lengths 3.7158, 3.7158, 9.7455 Å; angles 79.01, 79.01, 90.00 degrees
Last column: magnetic moment on the atom in μB.
Sites, in units of the cell vectors:
Pd (0.3750, 0.3740, 0.7500)  0.06
Pd (0.6260, 0.1250, 0.2500)  0.06
Pd (0.1240, 0.6250, 0.2500)  0.06
Os (0.0000, 0.0000, 0.0000)  0.69
Os (0.7500, 0.2500, 0.5000)  0.69
Ge (0.2500, 0.7500, 0.5000)  0.01
Pd (0.8750, 0.8760, 0.7500)  0.06
Ge (0.5000, 0.5000, 0.0000)  0.01



Compound: GeOsPd3
Source: the Alexandria database
Functional: GGA-PBE
Structure: optimized geometry

Energy of formation from the pure elements (kJ per mole of atoms): 123
DOS at the Fermi energy (states/eV/atom): 1.77
Space group: Pm-3m

Cell lengths 4.8167, 4.8167, 4.8167 Å; angles 90.00, 90.00, 90.00 degrees
Sites, in units of the cell vectors:
Pd (0.5000, 0.0000, 0.0000)
Pd (0.0000, 0.0000, 0.5000)
Os (0.0000, 0.0000, 0.0000)
Ge (0.5000, 0.5000, 0.5000)
Pd (0.0000, 0.5000, 0.0000)



Compound: Ge2OsPd2
Source: the Alexandria database
Functional: GGA-PBE
Structure: optimized geometry

Energy of formation from the pure elements (kJ per mole of atoms): 5
DOS at the Fermi energy (states/eV/atom): 0.64
Space group: P4/mbm

Cell lengths 6.6408, 6.6408, 3.5233 Å; angles 90.00, 90.00, 90.00 degrees
Sites, in units of the cell vectors:
Pd (0.8455, 0.3455, 0.5000)
Pd (0.6545, 0.8455, 0.5000)
Ge (0.1495, 0.3505, 0.0000)
Os (0.0000, 0.0000, 0.0000)
Ge (0.6495, 0.1495, 0.0000)
Pd (0.1545, 0.6545, 0.5000)
Pd (0.3455, 0.1545, 0.5000)
Ge (0.8505, 0.6495, 0.0000)
Os (0.5000, 0.5000, 0.0000)
Ge (0.3505, 0.8505, 0.0000)



Compound: Ge2Os2Pd
Source: the Alexandria database
Functional: GGA-PBE
Structure: optimized geometry

Energy of formation from the pure elements (kJ per mole of atoms): 17
DOS at the Fermi energy (states/eV/atom): 0.81
Space group: P4/mbm

Cell lengths 7.1970, 7.1970, 2.9481 Å; angles 90.00, 90.00, 90.00 degrees
Sites, in units of the cell vectors:
Ge (0.8432, 0.3432, 0.5000)
Pd (0.0000, 0.0000, 0.0000)
Os (0.6415, 0.1415, 0.0000)
Os (0.3585, 0.8585, 0.0000)
Ge (0.6568, 0.8432, 0.5000)
Os (0.8585, 0.6415, 0.0000)
Os (0.1415, 0.3585, 0.0000)
Ge (0.1568, 0.6568, 0.5000)
Ge (0.3432, 0.1568, 0.5000)
Pd (0.5000, 0.5000, 0.0000)



Compound: GeOs3Pd
Source: the Alexandria database
Functional: GGA-PBE
Structure: optimized geometry

Energy of formation from the pure elements (kJ per mole of atoms): 177
DOS at the Fermi energy (states/eV/atom): 1.24
Space group: Pm-3m

Cell lengths 4.4918, 4.4918, 4.4918 Å; angles 90.00, 90.00, 90.00 degrees
Last column: magnetic moment on the atom in μB.
Sites, in units of the cell vectors:
Ge (0.0000, 0.0000, 0.0000)  0.00
Os (0.0000, 0.0000, 0.5000)  0.04
Os (0.0000, 0.5000, 0.0000)  0.06
Os (0.5000, 0.0000, 0.0000)  0.07
Pd (0.5000, 0.5000, 0.5000)  0.01



Compound: Ge3OsPd
Source: the Alexandria database
Functional: GGA-PBE
Structure: optimized geometry

Energy of formation from the pure elements (kJ per mole of atoms): 43
DOS at the Fermi energy (states/eV/atom): 0.31
Space group: Pm-3m

Cell lengths 4.7598, 4.7598, 4.7598 Å; angles 90.00, 90.00, 90.00 degrees
Sites, in units of the cell vectors:
Ge (0.0000, 0.5000, 0.0000)
Ge (0.5000, 0.0000, 0.0000)
Os (0.0000, 0.0000, 0.0000)
Pd (0.5000, 0.5000, 0.5000)
Ge (0.0000, 0.0000, 0.5000)



Compound: RbGe2OsPd
Source: the Alexandria database
Functional: GGA-PBE
Structure: optimized geometry

Energy of formation from the pure elements (kJ per mole of atoms): 100
DOS at the Fermi energy (states/eV/atom): 0.89
Space group: P4/mmm

Cell lengths 4.8867, 5.3062, 4.8867 Å; angles 90.00, 90.00, 90.00 degrees
Last column: magnetic moment on the atom in μB.
Sites, in units of the cell vectors:
Ge (0.0000, 0.0000, 0.5000)  -0.02
Rb (0.5000, 0.5000, 0.5000)  0.00
Ge (0.5000, 0.0000, 0.0000)  -0.02
Pd (0.0000, 0.0000, 0.0000)  0.13
Os (0.0000, 0.5000, 0.0000)  2.29



Compound: Sr2GeOsPd
Source: the Alexandria database
Functional: GGA-PBE
Structure: optimized geometry

Energy of formation from the pure elements (kJ per mole of atoms): 59
DOS at the Fermi energy (states/eV/atom): 1.34
Space group: P4/mmm

Cell lengths 5.6841, 4.6439, 5.6841 Å; angles 90.00, 90.00, 90.00 degrees
Last column: magnetic moment on the atom in μB.
Sites, in units of the cell vectors:
Ge (0.0000, 0.5000, 0.0000)  -0.05
Os (0.5000, 0.5000, 0.5000)  1.75
Pd (0.0000, 0.0000, 0.0000)  -0.04
Sr (0.5000, 0.0000, 0.0000)  -0.02
Sr (0.0000, 0.0000, 0.5000)  -0.02



Compound: GeOsPdW2
Source: the Alexandria database
Functional: GGA-PBE
Structure: optimized geometry

Energy of formation from the pure elements (kJ per mole of atoms): 166
DOS at the Fermi energy (states/eV/atom): 1.04
Space group: P4/mmm

Cell lengths 4.6007, 4.3709, 4.6007 Å; angles 90.00, 90.00, 90.00 degrees
Last column: magnetic moment on the atom in μB.
Sites, in units of the cell vectors:
Ge (0.0000, 0.0000, 0.0000)  0.03
W (0.0000, 0.0000, 0.5000)  0.10
Os (0.5000, 0.5000, 0.5000)  1.24
W (0.5000, 0.0000, 0.0000)  -0.01
Pd (0.0000, 0.5000, 0.0000)  0.09



Question: energy of formation from the pure elements of number 11 (Sr2GeOsPd)?
Answer: 59 kJ per mole of atoms



Question: Which value of energy of formation from the pure elements does entry 10 give?
Answer: 100 kJ per mole of atoms